1.
Density functional theory data (PBE) for a relaxed SmTiSb2 crystal.

Cell and atoms, written as POSCAR:
```
SmTiSb2
1.0
2.0983 1.2114 6.9053
-2.0983 1.2114 6.9053
0.0000 -2.4229 6.9053
Sm Ti Sb
1 1 2
Direct
0.0000 0.0000 0.0000
0.5000 0.5000 0.5000
0.2385 0.2385 0.2385
0.7615 0.7615 0.7615
```

=====

2.
Density functional theory data (PBE) for a relaxed SmTiSb2 crystal.

Cell and atoms, written as POSCAR:
```
SmTiSb2
1.0
-2.0940 2.0940 6.3894
2.0940 -2.0940 6.3894
2.0940 2.0940 -6.3894
Sm Ti Sb
1 1 2
Direct
0.0000 0.0000 0.0000
0.2500 0.7500 0.5000
0.3792 0.3792 0.0000
0.6208 0.6208 0.0000
```

=====

Stability summary - winner: 1; margin: 264 meV/atom.

=====

1.
Density functional theory data (PBE) for a relaxed SmTl2Sb crystal.

Cell and atoms, written as POSCAR:
```
SmTl2Sb
1.0
1.7914 1.0343 11.5513
-1.7914 1.0343 11.5513
0.0000 -2.0686 11.5513
Sm Tl Sb
1 2 1
Direct
0.0000 0.0000 0.0000
0.0923 0.0923 0.0923
0.9077 0.9077 0.9077
0.5000 0.5000 0.5000
```

=====

2.
Density functional theory data (PBE) for a relaxed SmTl2Sb crystal.

Cell and atoms, written as POSCAR:
```
SmTl2Sb
1.0
4.7635 0.0000 0.0000
0.0000 4.7635 0.0000
0.0000 0.0000 4.9649
Sm Tl Sb
1 2 1
Direct
0.0000 0.0000 0.0000
0.0000 0.5000 0.5000
0.5000 0.0000 0.5000
0.5000 0.5000 0.0000
```

=====

Stability summary - winner: 2; margin: 540 meV/atom.

=====

1.
Density functional theory data (PBE) for a relaxed SmTlSb2 crystal.

Cell and atoms, written as POSCAR:
```
SmTlSb2
1.0
2.1910 1.2649 7.9465
-2.1910 1.2649 7.9465
0.0000 -2.5299 7.9465
Sm Tl Sb
1 1 2
Direct
0.0000 0.0000 0.0000
0.5000 0.5000 0.5000
0.2547 0.2547 0.2547
0.7453 0.7453 0.7453
```

=====

2.
Density functional theory data (PBE) for a relaxed SmTlSb2 crystal.

Cell and atoms, written as POSCAR:
```
SmTlSb2
1.0
4.2043 0.0000 0.0000
0.0000 4.2043 0.0000
0.0000 0.0000 6.6484
Sm Tl Sb
1 1 2
Direct
0.0000 0.0000 0.0000
0.0000 0.0000 0.5000
0.5000 0.5000 0.2235
0.5000 0.5000 0.7765
```

=====

Stability summary - winner: 2; margin: 202 meV/atom.

=====

1.
Density functional theory data (PBE) for a relaxed Sm2TlSb crystal.

Cell and atoms, written as POSCAR:
```
Sm2TlSb
1.0
8.3763 0.0000 0.0000
0.0000 4.1669 0.0000
0.0000 0.0000 14.6058
Sm Tl Sb
8 4 4
Direct
0.1854 0.2500 0.0102
0.1877 0.7500 0.7629
0.3123 0.2500 0.2629
0.3146 0.7500 0.5102
0.6854 0.2500 0.4898
0.6877 0.7500 0.7371
0.8123 0.2500 0.2371
0.8146 0.7500 0.9898
0.0458 0.2500 0.4179
0.4542 0.7500 0.9179
0.5458 0.2500 0.0821
0.9542 0.7500 0.5821
0.0662 0.7500 0.1600
0.4338 0.2500 0.6600
0.5662 0.7500 0.3400
0.9338 0.2500 0.8400
```

=====

2.
Density functional theory data (PBE) for a relaxed Sm2TlSb crystal.

Cell and atoms, written as POSCAR:
```
Sm2TlSb
1.0
2.1410 1.2361 8.0599
-2.1410 1.2361 8.0599
0.0000 -2.4722 8.0599
Sm Tl Sb
2 1 1
Direct
0.2435 0.2435 0.2435
0.7565 0.7565 0.7565
0.0000 0.0000 0.0000
0.5000 0.5000 0.5000
```

=====

Stability summary - winner: 2; margin: 67 meV/atom.

=====

1.
Density functional theory data (PBE) for a relaxed Sm3TmSb2 crystal.

Cell and atoms, written as POSCAR:
```
Sm3TmSb2
1.0
4.5220 0.0000 0.0000
0.0000 4.5220 0.0000
0.0000 0.0000 8.6590
Sm Tm Sb
3 1 2
Direct
0.0000 0.0000 0.0000
0.0000 0.5000 0.6474
0.5000 0.0000 0.3526
0.5000 0.5000 0.0000
0.0000 0.5000 0.2768
0.5000 0.0000 0.7232
```

=====

2.
Density functional theory data (PBE) for a relaxed Sm3TmSb2 crystal.

Cell and atoms, written as POSCAR:
```
Sm3TmSb2
1.0
-3.5611 7.2005 3.9201
3.5611 -7.2005 3.9201
3.5611 7.2005 -3.9201
Sm Tm Sb
6 2 4
Direct
0.0413 0.7500 0.2913
0.2500 0.2500 0.0000
0.4587 0.7500 0.7087
0.5413 0.2500 0.2913
0.7500 0.7500 0.0000
0.9587 0.2500 0.7087
0.0000 0.5000 0.5000
0.5000 0.0000 0.5000
0.1448 0.1804 0.3252
0.3552 0.6804 0.0355
0.6448 0.3196 0.9645
0.8552 0.8196 0.6748
```

=====

Stability summary - winner: 1; margin: 224 meV/atom.

=====

1.
Density functional theory data (PBE) for a relaxed SmTm2Sb crystal.

Cell and atoms, written as POSCAR:
```
SmTm2Sb
1.0
1.9871 1.1472 9.4706
-1.9871 1.1472 9.4706
0.0000 -2.2945 9.4706
Sm Tm Sb
1 2 1
Direct
0.0000 0.0000 0.0000
0.5665 0.5665 0.5665
0.7653 0.7653 0.7653
0.1654 0.1654 0.1654
```

=====

2.
Density functional theory data (PBE) for a relaxed SmTm2Sb crystal.

Cell and atoms, written as POSCAR:
```
SmTm2Sb
1.0
3.9409 0.0000 0.0000
0.0000 3.9409 0.0000
0.0000 0.0000 7.3529
Sm Tm Sb
1 2 1
Direct
0.0000 0.0000 0.0000
0.5000 0.5000 0.2800
0.5000 0.5000 0.7200
0.0000 0.0000 0.5000
```

=====

Stability summary - winner: 2; margin: 149 meV/atom.

=====

1.
Density functional theory data (PBE) for a relaxed SmTm2Sb crystal.

Cell and atoms, written as POSCAR:
```
SmTm2Sb
1.0
4.5711 0.0000 0.0000
0.0000 4.5495 0.0000
-2.2877 0.0000 11.2406
Sm Tm Sb
2 4 2
Direct
0.1944 0.2500 0.3883
0.8056 0.7500 0.6117
0.0594 0.7500 0.1187
0.4401 0.7500 0.8802
0.5599 0.2500 0.1198
0.9406 0.2500 0.8813
0.3364 0.2500 0.6736
0.6636 0.7500 0.3264
```

=====

2.
Density functional theory data (PBE) for a relaxed SmTm2Sb crystal.

Cell and atoms, written as POSCAR:
```
SmTm2Sb
1.0
4.7963 0.0000 0.0000
0.0000 4.7963 0.0000
0.0000 0.0000 4.7350
Sm Tm Sb
1 2 1
Direct
0.0000 0.0000 0.0000
0.0000 0.5000 0.5000
0.5000 0.0000 0.5000
0.5000 0.5000 0.0000
```

=====

Stability summary - winner: 1; margin: 126 meV/atom.

=====

1.
Density functional theory data (PBE) for a relaxed Sm2TmSb crystal.

Cell and atoms, written as POSCAR:
```
Sm2TmSb
1.0
4.8098 0.0000 0.0000
0.0000 4.8098 0.0000
0.0000 0.0000 4.8618
Sm Tm Sb
2 1 1
Direct
0.0000 0.5000 0.0000
0.5000 0.0000 0.0000
0.0000 0.0000 0.5000
0.5000 0.5000 0.5000
```

=====

2.
Density functional theory data (PBE) for a relaxed Sm2TmSb crystal.

Cell and atoms, written as POSCAR:
```
Sm2TmSb
1.0
4.2035 0.0000 0.0000
0.0000 4.2035 0.0000
0.0000 0.0000 6.7155
Sm Tm Sb
2 1 1
Direct
0.0000 0.0000 0.2349
0.0000 0.0000 0.7651
0.5000 0.5000 0.5000
0.5000 0.5000 0.0000
```

=====

Stability summary - winner: 2; margin: 13 meV/atom.

=====

1.
Density functional theory data (PBE) for a relaxed Sm3YSb3 crystal.

Cell and atoms, written as POSCAR:
```
Sm3YSb3
1.0
9.3538 0.0000 0.0000
0.0000 9.3538 0.0000
0.0000 0.0000 9.3538
Sm Y Sb
12 4 12
Direct
0.0690 0.4310 0.5690
0.1778 0.8222 0.3222
0.1790 0.1790 0.1790
0.3210 0.8210 0.6790
0.3222 0.1778 0.8222
0.4310 0.5690 0.0690
0.5690 0.0690 0.4310
0.6778 0.6778 0.6778
0.6790 0.3210 0.8210
0.8210 0.6790 0.3210
0.8222 0.3222 0.1778
0.9310 0.9310 0.9310
0.0719 0.5719 0.9281
0.4281 0.4281 0.4281
0.5719 0.9281 0.0719
0.9281 0.0719 0.5719
0.0009 0.2532 0.8731
0.1269 0.5009 0.2468
0.2468 0.1269 0.5009
0.2532 0.8731 0.0009
0.3731 0.4991 0.7468
0.4991 0.7468 0.3731
0.5009 0.2468 0.1269
0.6269 0.9991 0.7532
0.7468 0.3731 0.4991
0.7532 0.6269 0.9991
0.8731 0.0009 0.2532
0.9991 0.7532 0.6269
```

=====

2.
Density functional theory data (PBE) for a relaxed Sm3YSb3 crystal.

Cell and atoms, written as POSCAR:
```
Sm3YSb3
1.0
4.5582 2.6317 6.2423
-4.5582 2.6317 6.2423
0.0000 -5.2634 6.2423
Sm Y Sb
6 2 6
Direct
0.0908 0.3474 0.8209
0.1791 0.9092 0.6526
0.3474 0.8209 0.0908
0.6526 0.1791 0.9092
0.8209 0.0908 0.3474
0.9092 0.6526 0.1791
0.3330 0.3330 0.3330
0.6670 0.6670 0.6670
0.0749 0.6952 0.4686
0.3048 0.5314 0.9251
0.4686 0.0749 0.6952
0.5314 0.9251 0.3048
0.6952 0.4686 0.0749
0.9251 0.3048 0.5314
```

=====

Stability summary - winner: 1; margin: 96 meV/atom.

=====

1.
Density functional theory data (PBE) for a relaxed Sm3YSb2 crystal.

Cell and atoms, written as POSCAR:
```
Sm3YSb2
1.0
9.2137 -2.1909 0.0000
9.2137 2.1909 0.0000
-4.3533 0.0000 8.9735
Sm Y Sb
6 2 4
Direct
0.0542 0.0542 0.1767
0.3117 0.3117 0.6068
0.3512 0.3512 0.0254
0.6488 0.6488 0.9746
0.6883 0.6883 0.3932
0.9458 0.9458 0.8233
0.1099 0.1099 0.6162
0.8901 0.8901 0.3838
0.2502 0.2502 0.2255
0.4930 0.4930 0.6530
0.5070 0.5070 0.3470
0.7498 0.7498 0.7745
```

=====

2.
Density functional theory data (PBE) for a relaxed Sm3YSb2 crystal.

Cell and atoms, written as POSCAR:
```
Sm3YSb2
1.0
4.5427 0.0000 0.0000
0.0000 4.5427 0.0000
0.0000 0.0000 8.6716
Sm Y Sb
3 1 2
Direct
0.0000 0.0000 0.0000
0.0000 0.5000 0.6468
0.5000 0.0000 0.3532
0.5000 0.5000 0.0000
0.0000 0.5000 0.2772
0.5000 0.0000 0.7228
```

=====

Stability summary - winner: 2; margin: 119 meV/atom.

=====

1.
Density functional theory data (PBE) for a relaxed Sm2Y2Sb3 crystal.

Cell and atoms, written as POSCAR:
```
Sm2Y2Sb3
1.0
-4.6518 4.6518 4.6518
4.6518 -4.6518 4.6518
4.6518 4.6518 -4.6518
Sm Y Sb
4 4 6
Direct
0.0000 0.3535 0.5000
0.1465 0.1465 0.1465
0.3535 0.5000 0.0000
0.5000 0.0000 0.3535
0.0000 0.8596 0.5000
0.5000 0.0000 0.8596
0.6404 0.6404 0.6404
0.8596 0.5000 0.0000
0.1208 0.7500 0.8708
0.2500 0.6292 0.3792
0.3792 0.2500 0.6292
0.6292 0.3792 0.2500
0.7500 0.8708 0.1208
0.8708 0.1208 0.7500
```

=====

2.
Density functional theory data (PBE) for a relaxed Sm2Y2Sb3 crystal.

Cell and atoms, written as POSCAR:
```
Sm2Y2Sb3
1.0
4.3681 0.0000 0.0000
2.1797 7.1301 0.0000
0.0019 1.1406 7.4188
Sm Y Sb
2 2 3
Direct
0.1213 0.2586 0.3827
0.8787 0.7414 0.6173
0.3750 0.7503 0.1246
0.6250 0.2497 0.8754
0.0000 0.5000 0.0000
0.2529 0.9929 0.7504
0.7471 0.0071 0.2496
```

=====

Stability summary - winner: 1; margin: 139 meV/atom.

=====

1.
Density functional theory data (PBE) for a relaxed Sm2ZnSb crystal.

Cell and atoms, written as POSCAR:
```
Sm2ZnSb
1.0
3.9322 0.0000 0.0000
0.0000 3.9322 0.0000
0.0000 0.0000 6.8072
Sm Zn Sb
2 1 1
Direct
0.0000 0.0000 0.2479
0.0000 0.0000 0.7521
0.5000 0.5000 0.0000
0.5000 0.5000 0.5000
```

=====

2.
Density functional theory data (PBE) for a relaxed Sm2ZnSb crystal.

Cell and atoms, written as POSCAR:
```
Sm2ZnSb
1.0
0.0000 3.7462 3.7462
3.7462 0.0000 3.7462
3.7462 3.7462 0.0000
Sm Zn Sb
2 1 1
Direct
0.2500 0.2500 0.2500
0.7500 0.7500 0.7500
0.0000 0.0000 0.0000
0.5000 0.5000 0.5000
```

=====

Stability summary - winner: 1; margin: 66 meV/atom.